Crystalline Pr5NdPb6 at its relaxed geometry, computed with GGA-PBE.

```
12
Lattice="4.839 -0.020 1.584 0.033 9.293 0.011 -0.077 -0.010 8.151" Properties=species:S:1:pos:R:3 pbc="T T T"
Pb 4.034 6.955 4.039
Pr 0.017 4.647 0.006
Nd 0.000 0.000 0.000
Pb 4.017 2.299 4.034
Pr 3.191 4.627 6.494
Pb 0.761 2.309 5.707
Pr 1.588 -0.010 3.241
Pr 3.173 -0.020 6.493
Pb 2.444 6.966 0.800
Pb 2.428 2.308 0.795
Pr 1.604 4.637 3.251
Pb 0.778 6.965 5.712
```

Its space group is No. 10. For the formation energy from the elements, the calculation gives -6.3 eV/f.u.